Record 1
Here is a relaxed structure of SrHfTe2O8 from Alexandria via LeMat-Bulk. Energies are from PBE.

```
SrHfTe2O8
1.0
-2.586 3.171 -4.535
-2.801 -4.935 2.261
-3.281 4.000 4.668
O Hf Sr Te
8 1 1 2
Cartesian
-5.052 -0.954 4.485 O
-5.936 4.466 2.394 O
-5.175 0.462 -0.849 O
-3.617 3.190 -2.091 O
-2.732 -2.230 -0.001 O
-3.493 1.774 3.242 O
-2.195 1.429 0.417 O
-6.473 0.807 1.976 O
-1.640 2.000 2.334 Hf
0.000 0.000 0.000 Sr
-5.154 0.723 3.445 Te
-3.514 1.513 -1.052 Te
```

The value obtained for the volume is 225 Å³/cell. As for the uncorrected formation energy: -1778 meV per atom.

---

Record 2
Here is a relaxed structure of HfGaAg from Alexandria via LeMat-Bulk. Energies are from PBE.

```
HfGaAg
1.0
-1.232 2.422 1.434
-2.807 -0.948 -0.811
1.647 -3.823 4.582
Ga Hf Ag
1 1 1
Cartesian
-2.353 -2.032 4.701 Ga
-2.100 0.071 1.367 Hf
-0.219 -1.812 2.874 Ag
```

The value obtained for the volume is 55 Å³/cell. The formation energy comes out at -0.17 eV/atom.

---

Record 3
Here is a relaxed structure of Ta2Mn from Alexandria via LeMat-Bulk. Energies are from PBE.

```
Ta2Mn
1.0
-0.763 2.644 -1.296
-4.150 -2.038 -1.714
-3.259 1.849 5.692
Ta Mn
4 2
Cartesian
-2.471 -0.512 0.412 Ta
-5.231 -0.037 -0.564 Ta
-2.942 2.492 3.246 Ta
-4.938 0.322 3.566 Ta
0.000 0.000 0.000 Mn
-4.086 1.227 1.341 Mn
```

The value obtained for the volume is 102 Å³/cell. The formation energy comes out at 0.44 eV/atom.

---

no.,DOS at the Fermi energy (states/eV per cell)
1,4.50
2,1.30
3,6.41